Record 1
VASP calculation (GGA-PBE) on a geometry-optimized Sr3Ca3TiS8 structure.

abc: 8.1238 8.1237 8.2624
angles: 119.45 90.00 120.00
Last column: nearest neighbours and their distance in Å.
Fractional coordinates of all 15 atoms:
S: 0.2172 0.4344 0.7090  1 Ti 2.52
Ti: 0.0000 0.0000 0.5000  6 S 2.52
Ca: 0.5000 0.5000 0.5000  6 S 2.84-2.87
Ca: 0.0000 0.5000 0.5000  6 S 2.84-2.87
S: 0.2172 0.9918 0.7090  1 Ti 2.52
Sr: 0.0000 0.5000 0.0000  6 S 2.96-2.98
Sr: 0.5000 0.5000 0.0000  6 S 2.96-2.98
S: 0.7746 0.9918 0.7090  1 Ti 2.52
S: 0.7828 0.5656 0.2910  1 Ti 2.52
Ca: 0.5000 0.0000 0.5000  6 S 2.84-2.87
S: 0.2254 0.0082 0.2910  1 Ti 2.52
S: 0.7452 0.4903 0.7354  3 Ca 2.84, 3 Sr 2.96
S: 0.7828 0.0082 0.2910  1 Ti 2.52
Sr: 0.0000 0.0000 0.0000  6 S 2.96-2.98
S: 0.2548 0.5097 0.2646  3 Ca 2.84, 3 Sr 2.96

SG ... R-3m (166)
Formation energy (no corrections) ... -187.1 kJ/mol of atoms

---

Record 2
VASP calculation (GGA-PBE) on a geometry-optimized LiCa2TeH structure.

abc: 5.1359 5.1359 4.0889
angles: 90.00 90.00 90.00
Last column: nearest neighbours and their distance in Å.
Fractional coordinates of all 5 atoms:
Te: 0.5000 0.5000 0.5000  8 Ca 3.28, 4 Li 3.63
Ca: 0.5000 0.0000 0.0000  2 H 2.57
Li: 0.0000 0.0000 0.5000  2 H 2.04
H: 0.0000 0.0000 0.0000  2 Li 2.04
Ca: 0.0000 0.5000 0.0000  2 H 2.57

D(E_F) ... 3.3 states/eV/f.u.
DFT total energy ... -15.4 eV for the cell shown
SG ... P4/mmm (123)

---

Record 3
VASP calculation (GGA-PBE) on a geometry-optimized Al2Ga2Cu7 structure.

abc: 5.4499 5.8188 5.4499
angles: 102.37 100.96 77.63
Last column: nearest neighbours and their distance in Å.
Fractional coordinates of all 11 atoms:
Cu: 0.4298 0.3443 0.5702  1 Ga 2.37, 3 Cu 2.42-2.61, 2 Al 2.51
Ga: 0.2999 0.0316 0.7001  6 Cu 2.37-2.63
Cu: 0.5926 0.2883 0.0404  2 Ga 2.48-2.63, 2 Al 2.48-2.52, 5 Cu 2.49-2.67
Cu: 0.0404 0.7117 0.5926  2 Ga 2.48-2.63, 2 Al 2.48-2.52, 5 Cu 2.49-2.67
Cu: 0.9596 0.2883 0.4074  2 Ga 2.48-2.63, 2 Al 2.48-2.52, 5 Cu 2.49-2.67
Cu: 0.0000 0.0000 0.0000  4 Cu 2.49, 2 Ga 2.58
Ga: 0.7001 0.9684 0.2999  6 Cu 2.37-2.63
Cu: 0.4074 0.7117 0.9596  2 Ga 2.48-2.63, 2 Al 2.48-2.52, 5 Cu 2.49-2.67
Cu: 0.5702 0.6557 0.4298  1 Ga 2.37, 3 Cu 2.42-2.61, 2 Al 2.51
Al: 0.1838 0.5000 0.1838  6 Cu 2.48-2.52, 1 Al 2.55
Al: 0.8162 0.5000 0.8162  6 Cu 2.48-2.52, 1 Al 2.55

D(E_F) ... 3.7 states/eV/f.u.
SG ... C2/m (12)
Energy relative to the elements ... 48 meV per atom

---

Record 4
VASP calculation (GGA-PBE) on a geometry-optimized PmSm2Er4Tm structure.

abc: 9.4781 9.4781 11.7582
angles: 128.33 128.33 88.57
Last column: nearest neighbours and their distance in Å.
Fractional coordinates of all 16 atoms:
Pm: 0.0000 0.5000 0.0000  6 Er 3.31-3.39, 2 Sm 3.39
Er: 0.2542 0.7460 0.5001  1 Tm 3.25, 3 Sm 3.36-3.39, 2 Er 3.39, 2 Pm 3.39
Pm: 0.0000 0.5000 0.5000  6 Er 3.31-3.39, 2 Sm 3.39
Er: 0.2492 0.2490 0.4951  3 Sm 3.31-3.44, 1 Pm 3.31, 2 Tm 3.35, 2 Er 3.39
Tm: 0.0000 0.0000 0.0000  6 Er 3.25-3.36, 2 Tm 3.39
Tm: 0.5000 0.5000 0.5000  6 Er 3.25-3.35, 2 Tm 3.39
Er: 0.7458 0.2540 0.4999  1 Tm 3.25, 3 Sm 3.36-3.39, 2 Er 3.39, 2 Pm 3.39
Er: 0.7491 0.7492 0.9952  3 Sm 3.31-3.44, 1 Pm 3.31, 2 Tm 3.35-3.36, 2 Er 3.39
Sm: 0.0000 0.0000 0.5000  6 Er 3.36-3.44, 2 Sm 3.39
Er: 0.2509 0.2508 0.0048  3 Sm 3.31-3.44, 1 Pm 3.31, 2 Tm 3.35-3.36, 2 Er 3.39
Er: 0.7540 0.2458 0.9999  1 Tm 3.25, 3 Sm 3.36-3.39, 2 Er 3.39, 2 Pm 3.39
Sm: 0.5000 0.5000 0.0000  6 Er 3.36-3.44, 2 Sm 3.39
Er: 0.2460 0.7542 0.0001  1 Tm 3.25, 3 Sm 3.36-3.39, 2 Er 3.39, 2 Pm 3.39
Sm: 0.5000 0.0000 0.0000  6 Er 3.31-3.39, 2 Pm 3.39
Er: 0.7508 0.7510 0.5049  3 Sm 3.31-3.44, 1 Pm 3.31, 2 Tm 3.35, 2 Er 3.39
Sm: 0.5000 0.0000 0.5000  6 Er 3.31-3.39, 2 Pm 3.39

D(E_F) ... 18.1 states/eV/f.u.
SG ... C2/c (15)
Energy relative to the elements ... 432 meV per atom

---

Copy entry 3 word for word.
VASP calculation (GGA-PBE) on a geometry-optimized Al2Ga2Cu7 structure.

abc: 5.4499 5.8188 5.4499
angles: 102.37 100.96 77.63
Last column: nearest neighbours and their distance in Å.
Fractional coordinates of all 11 atoms:
Cu: 0.4298 0.3443 0.5702  1 Ga 2.37, 3 Cu 2.42-2.61, 2 Al 2.51
Ga: 0.2999 0.0316 0.7001  6 Cu 2.37-2.63
Cu: 0.5926 0.2883 0.0404  2 Ga 2.48-2.63, 2 Al 2.48-2.52, 5 Cu 2.49-2.67
Cu: 0.0404 0.7117 0.5926  2 Ga 2.48-2.63, 2 Al 2.48-2.52, 5 Cu 2.49-2.67
Cu: 0.9596 0.2883 0.4074  2 Ga 2.48-2.63, 2 Al 2.48-2.52, 5 Cu 2.49-2.67
Cu: 0.0000 0.0000 0.0000  4 Cu 2.49, 2 Ga 2.58
Ga: 0.7001 0.9684 0.2999  6 Cu 2.37-2.63
Cu: 0.4074 0.7117 0.9596  2 Ga 2.48-2.63, 2 Al 2.48-2.52, 5 Cu 2.49-2.67
Cu: 0.5702 0.6557 0.4298  1 Ga 2.37, 3 Cu 2.42-2.61, 2 Al 2.51
Al: 0.1838 0.5000 0.1838  6 Cu 2.48-2.52, 1 Al 2.55
Al: 0.8162 0.5000 0.8162  6 Cu 2.48-2.52, 1 Al 2.55

D(E_F) ... 3.7 states/eV/f.u.
SG ... C2/m (12)
Energy relative to the elements ... 48 meV per atom